Density functional theory data (PBE-GGA) for a geometry-optimized NpAg2Cl8 structure.

```
data_NpAg2Cl8
_chemical_formula_sum 'Np4 Ag8 Cl32'
_cell_length_a 18.879
_cell_length_b 7.669
_cell_length_c 13.180
_cell_angle_alpha 90.00
_cell_angle_beta 133.20
_cell_angle_gamma 90.00
_space_group_name_H-M_alt 'C 1 2/c 1'
_space_group_IT_number 15
_space_group_name_Hall '-C 2yc'
loop_
_atom_site_label
_atom_site_type_symbol
_atom_site_fract_x
_atom_site_fract_y
_atom_site_fract_z
_atom_site_occupancy
Np1 Np 0.000 0.002 0.250 1
Ag1 Ag 0.250 0.248 0.250 1
Cl1 Cl 0.067 0.227 0.703 1
Cl2 Cl 0.068 0.229 0.204 1
Cl3 Cl 0.154 0.002 0.502 1
Cl4 Cl 0.178 0.498 0.098 1
```

Results
E above lowest polymorph: 0.00 eV per formula unit
D(E_F): 5.76 states/eV/f.u.
Uncorrected formation energy: -0.98 eV/atom